Entry 1:
# PBE CaPr2Se4, optimized geometry
# **Uncorrected formation energy**: -1.93 eV per atom
# **DOS(E_F)**: 0.000 states/eV/atom
# **Magnetic moment**: 0.00 μB/cell
# **Polymorph energy (0 for the lowest one)**: 0 meV per atom
data_CaPr2Se4
_space_group_name_H-M_alt 'I -4 2 d'
_space_group_IT_number 122
_space_group_name_Hall 'I -4 2bw'
_cell_length_a 8.970
_cell_length_b 8.970
_cell_length_c 9.056
_cell_angle_alpha 90.00
_cell_angle_beta 90.00
_cell_angle_gamma 90.00
loop_
_atom_site_label
_atom_site_fract_x
_atom_site_fract_y
_atom_site_fract_z
_atom_site_occupancy
Ca1 0.000 0.000 0.000 1
Pr1 0.127 0.750 0.625 1
Se1 0.074 0.679 0.947 1


Entry 2:
# PBE VReW2I, optimized geometry
# **Uncorrected formation energy**: 2.87 eV per atom
# **DOS(E_F)**: 1.102 states/eV/atom
# **Magnetic moment**: 0.00 μB/cell
data_VReW2I
_space_group_name_H-M_alt 'P 4/m m m'
_space_group_IT_number 123
_space_group_name_Hall '-P 4 2'
_cell_length_a 4.796
_cell_length_b 4.796
_cell_length_c 4.547
_cell_angle_alpha 90.00
_cell_angle_beta 90.00
_cell_angle_gamma 90.00
loop_
_atom_site_label
_atom_site_fract_x
_atom_site_fract_y
_atom_site_fract_z
_atom_site_occupancy
V1 0.000 0.000 0.000 1
Re1 0.500 0.500 0.000 1
W1 0.000 0.500 0.500 1
I1 0.000 0.000 0.500 1